A plane-wave DFT calculation with PBE+U was carried out for a geometry-optimized RbFePO2 structure.

## Properties
* crystal system: tetragonal
* offset from the most stable computed form: 0 meV/atom

Cell and atoms, written as POSCAR:
```
RbFePO2
1.0
-3.187 -2.506 -1.041
2.610 -3.270 -0.115
-0.835 -0.826 4.546
O P Fe Rb
2 1 1 1
Cartesian
1.305 -1.635 -0.058
-1.593 -1.253 -0.520
-0.417 -0.413 2.273
0.000 0.000 0.000
-0.706 -3.302 1.695
```

***

A plane-wave DFT calculation with PBE+U was carried out for a geometry-optimized Rb2FePO4 structure.

## Properties
* final energy: -5.8171 eV per atom
* crystal system: orthorhombic

Cell and atoms, written as POSCAR:
```
Rb2FePO4
1.0
-1.075 2.201 -4.750
-6.302 0.923 -1.152
0.068 10.499 1.843
Rb Fe P O
4 2 2 8
Cartesian
-0.143 7.227 0.374
-0.864 5.473 -3.282
-3.713 10.634 -1.749
-4.134 4.090 -4.686
-3.923 7.362 -3.217
0.000 0.000 0.000
-3.386 6.262 -0.842
-0.538 1.100 -2.375
-5.718 2.446 -2.517
-1.209 10.395 0.146
-6.134 12.155 -3.069
-1.558 2.251 -2.680
-4.507 5.839 -1.853
-2.647 7.466 -1.520
-5.099 8.831 -4.208
-2.366 5.111 -0.537
```

***

Number 1: mass density 4.12 g/cm3. Number 2: mass density 3.29 g/cm3.